A plane-wave DFT calculation with PBE was carried out for crystalline FePd4Au7 at its relaxed geometry. Values from VASP.

Quantum ESPRESSO input file:
```
&SYSTEM
  ibrav = 0, nat = 12, ntyp = 3
/
ATOMIC_SPECIES
Au 196.97 Au.upf
Fe 55.84 Fe.upf
Pd 106.42 Pd.upf
ATOMIC_POSITIONS angstrom
Au 6.061 -9.222 -1.212
Au 3.975 -4.172 -2.491
Au 2.987 -5.720 -0.084
Au 4.586 -7.196 3.295
Au 2.500 -2.146 2.016
Au 5.574 -5.648 0.887
Au -0.282 -2.246 0.917
Fe 0.000 0.000 0.000
Pd 3.450 -4.768 2.388
Pd 6.600 -8.250 1.333
Pd 1.962 -3.118 -0.530
Pd 5.111 -6.599 -1.585
CELL_PARAMETERS angstrom
-0.563 -4.491 1.834
4.855 -5.286 -4.949
4.269 -1.591 3.918
```

As for the formation energy: 0.204 eV/atom. The calculation puts the density of states at the Fermi level at 7.87 states/eV/f.u.



A plane-wave DFT calculation with PBE was carried out for crystalline FePdAu3 at its relaxed geometry. Values from VASP.

Quantum ESPRESSO input file:
```
&SYSTEM
  ibrav = 0, nat = 5, ntyp = 3
/
ATOMIC_SPECIES
Au 196.97 Au.upf
Pd 106.42 Pd.upf
Fe 55.84 Fe.upf
ATOMIC_POSITIONS angstrom
Au 2.502 0.000 0.000
Au 0.000 0.000 2.502
Au 0.000 2.502 0.000
Pd 0.000 0.000 0.000
Fe 2.502 2.502 2.502
CELL_PARAMETERS angstrom
5.004 0.000 0.000
0.000 5.004 0.000
0.000 0.000 5.004
```

As for the formation energy: 1.167 eV/atom. The calculation puts the density of states at the Fermi level at 10.64 states/eV/f.u.



A plane-wave DFT calculation with PBE was carried out for crystalline FePdPtAu at its relaxed geometry. Values from VASP.

Quantum ESPRESSO input file:
```
&SYSTEM
  ibrav = 0, nat = 4, ntyp = 4
/
ATOMIC_SPECIES
Pd 106.42 Pd.upf
Pt 195.08 Pt.upf
Fe 55.84 Fe.upf
Au 196.97 Au.upf
ATOMIC_POSITIONS angstrom
Pd 0.320 -2.307 -1.428
Pt 0.960 -6.921 -4.283
Fe 0.640 -4.614 -2.855
Au 0.000 0.000 0.000
CELL_PARAMETERS angstrom
-1.921 -2.774 -2.918
2.480 -2.062 -3.083
0.722 -4.393 0.290
```

As for the formation energy: -0.012 eV/atom. The calculation puts the density of states at the Fermi level at 3.20 states/eV/f.u.



A plane-wave DFT calculation with PBE was carried out for crystalline FePdPtAu at its relaxed geometry. Values from VASP.

Quantum ESPRESSO input file:
```
&SYSTEM
  ibrav = 0, nat = 4, ntyp = 4
/
ATOMIC_SPECIES
Au 196.97 Au.upf
Pt 195.08 Pt.upf
Pd 106.42 Pd.upf
Fe 55.84 Fe.upf
ATOMIC_POSITIONS angstrom
Au 0.405 2.410 5.593
Pt 1.810 1.006 7.764
Pd 1.815 1.000 3.482
Fe 0.409 2.406 1.721
CELL_PARAMETERS angstrom
2.815 0.000 0.003
0.000 2.815 -0.003
-0.009 0.009 7.770
```

As for the formation energy: -0.115 eV/atom. The calculation puts the density of states at the Fermi level at 3.12 states/eV/f.u.



A plane-wave DFT calculation with PBE was carried out for crystalline Fe2PdRhAu at its relaxed geometry. Values from VASP.

Quantum ESPRESSO input file:
```
&SYSTEM
  ibrav = 0, nat = 5, ntyp = 4
/
ATOMIC_SPECIES
Rh 102.91 Rh.upf
Au 196.97 Au.upf
Pd 106.42 Pd.upf
Fe 55.84 Fe.upf
ATOMIC_POSITIONS angstrom
Rh 0.000 2.456 0.000
Au 0.000 0.000 0.000
Pd 2.334 2.456 2.334
Fe 2.334 0.000 0.000
Fe 0.000 0.000 2.334
CELL_PARAMETERS angstrom
4.668 0.000 0.000
0.000 4.911 0.000
0.000 0.000 4.668
```

As for the formation energy: 1.470 eV/atom. The calculation puts the density of states at the Fermi level at 8.10 states/eV/f.u.



A plane-wave DFT calculation with PBE was carried out for crystalline FePdRhAu at its relaxed geometry. Values from VASP.

Quantum ESPRESSO input file:
```
&SYSTEM
  ibrav = 0, nat = 4, ntyp = 4
/
ATOMIC_SPECIES
Rh 102.91 Rh.upf
Fe 55.84 Fe.upf
Au 196.97 Au.upf
Pd 106.42 Pd.upf
ATOMIC_POSITIONS angstrom
Rh 2.213 1.278 0.904
Fe 4.426 2.556 1.807
Au 0.000 0.000 0.000
Pd 6.640 3.833 2.711
CELL_PARAMETERS angstrom
4.426 0.000 0.000
2.213 3.833 0.000
2.213 1.278 3.614
```

As for the formation energy: 0.064 eV/atom. The calculation puts the density of states at the Fermi level at 2.49 states/eV/f.u.



A plane-wave DFT calculation with PBE was carried out for crystalline Sc2FePdAu at its relaxed geometry. Values from VASP.

Quantum ESPRESSO input file:
```
&SYSTEM
  ibrav = 0, nat = 5, ntyp = 4
/
ATOMIC_SPECIES
Sc 44.96 Sc.upf
Pd 106.42 Pd.upf
Au 196.97 Au.upf
Fe 55.84 Fe.upf
ATOMIC_POSITIONS angstrom
Sc -1.958 -0.526 -1.492
Sc -0.011 -2.370 0.849
Pd 1.567 -0.661 -1.824
Au 0.000 0.000 0.000
Fe -0.402 -3.556 -2.467
CELL_PARAMETERS angstrom
-3.916 -1.051 -2.984
3.135 -1.321 -3.648
-0.022 -4.739 1.698
```

As for the formation energy: 0.645 eV/atom. The calculation puts the density of states at the Fermi level at 6.23 states/eV/f.u.



A plane-wave DFT calculation with PBE was carried out for crystalline Fe2TcPdAu at its relaxed geometry. Values from VASP.

Quantum ESPRESSO input file:
```
&SYSTEM
  ibrav = 0, nat = 5, ntyp = 4
/
ATOMIC_SPECIES
Fe 55.84 Fe.upf
Tc 98.00 Tc.upf
Au 196.97 Au.upf
Pd 106.42 Pd.upf
ATOMIC_POSITIONS angstrom
Fe -1.181 0.920 1.801
Fe 1.895 -0.224 1.357
Tc -0.753 -2.287 0.674
Au 0.000 0.000 0.000
Pd -0.039 -1.591 3.833
CELL_PARAMETERS angstrom
-2.362 1.840 3.603
-1.506 -4.574 1.348
3.791 -0.449 2.715
```

As for the formation energy: 1.677 eV/atom. The calculation puts the density of states at the Fermi level at 7.19 states/eV/f.u.



A plane-wave DFT calculation with PBE was carried out for crystalline ZnFe2Pd5Au2 at its relaxed geometry. Values from VASP.

Quantum ESPRESSO input file:
```
&SYSTEM
  ibrav = 0, nat = 20, ntyp = 4
/
ATOMIC_SPECIES
Au 196.97 Au.upf
Pd 106.42 Pd.upf
Fe 55.84 Fe.upf
Zn 65.41 Zn.upf
ATOMIC_POSITIONS angstrom
Au -1.417 -3.790 4.783
Au -1.658 0.592 2.886
Au -4.067 2.121 6.722
Au -3.827 -2.261 8.619
Pd -5.366 -0.845 6.499
Pd -3.450 -1.753 3.284
Pd -4.224 -3.112 5.513
Pd -5.370 3.257 4.297
Pd -4.592 0.514 4.270
Pd -2.160 -3.973 1.985
Pd -2.234 -1.382 0.732
Pd -6.582 -1.215 9.051
Pd -3.914 2.210 2.045
Pd -3.446 -5.854 5.486
Fe -2.948 2.461 4.374
Fe -4.543 0.263 8.644
Fe -0.941 -1.932 2.862
Fe -2.537 -4.131 7.132
Zn 0.000 0.000 0.000
Zn -2.742 -0.835 5.753
CELL_PARAMETERS angstrom
-3.331 -0.929 -1.723
-0.988 -7.018 5.692
-4.497 5.348 5.813
```

As for the formation energy: -0.016 eV/atom. The calculation puts the density of states at the Fermi level at 6.58 states/eV/f.u.



A plane-wave DFT calculation with PBE was carried out for crystalline Pm6Fe2Au at its relaxed geometry. Values from VASP.

Quantum ESPRESSO input file:
```
&SYSTEM
  ibrav = 0, nat = 18, ntyp = 3
/
ATOMIC_SPECIES
Pm 145.00 Pm.upf
Au 196.97 Au.upf
Fe 55.84 Fe.upf
ATOMIC_POSITIONS angstrom
Pm 1.222 4.882 3.700
Pm -1.622 5.379 5.906
Pm 4.169 4.960 -2.726
Pm 0.788 1.480 2.499
Pm -1.797 6.704 2.541
Pm -0.255 4.210 0.361
Pm 2.602 2.055 -0.511
Pm 4.079 2.727 2.828
Pm 3.036 5.457 0.690
Pm 5.621 0.233 0.648
Pm 5.446 1.558 -2.717
Pm -0.345 1.977 5.915
Au -2.120 3.430 2.997
Au 0.000 0.000 0.000
Fe 2.400 2.672 5.202
Fe 4.952 0.000 3.503
Fe 1.424 4.265 -2.013
Fe 3.152 0.000 2.230
CELL_PARAMETERS angstrom
8.064 0.078 -2.806
-4.280 6.937 -2.544
0.039 -0.078 8.538
```

As for the formation energy: -0.135 eV/atom. The calculation puts the density of states at the Fermi level at 9.69 states/eV/f.u.



A plane-wave DFT calculation with PBE was carried out for crystalline Pm4FeAu2 at its relaxed geometry. Values from VASP.

Quantum ESPRESSO input file:
```
&SYSTEM
  ibrav = 0, nat = 7, ntyp = 3
/
ATOMIC_SPECIES
Au 196.97 Au.upf
Fe 55.84 Fe.upf
Pm 145.00 Pm.upf
ATOMIC_POSITIONS angstrom
Au 2.522 2.522 1.945
Au 0.000 0.000 5.701
Fe 0.000 0.000 0.000
Pm 2.522 2.522 4.880
Pm 0.000 2.522 0.000
Pm 2.522 0.000 0.000
Pm 0.000 0.000 2.765
CELL_PARAMETERS angstrom
5.044 0.000 0.000
0.000 5.044 0.000
-2.522 -2.522 7.646
```

As for the formation energy: -0.229 eV/atom. The calculation puts the density of states at the Fermi level at 10.83 states/eV/f.u.